[1]
Material: Sc3CdAu4
Method: DFT, PBE-GGA
State: optimized geometry

Lattice parameters (Å, degrees): 4.8015 6.8095 9.5997 90.00 90.00 90.00
Fractional coordinates of all 16 atoms:
Au  0.5000  0.2383  0.0000
Au  0.5000  0.2383  0.5000
Sc  0.4997  0.5000  0.7500
Au  0.9995  0.7617  0.7500
Au  0.0005  0.2383  0.2500
Sc  0.5003  0.5000  0.2500
Sc  0.0000  0.0000  0.5000
Au  0.0005  0.7617  0.2500
Sc  0.0000  0.0000  0.0000
Au  0.5000  0.7617  0.5000
Au  0.5000  0.7617  0.0000
Au  0.9995  0.2383  0.7500
Cd  0.0000  0.5000  0.5000
Cd  0.0000  0.5000  0.0000
Sc  0.4997  0.0000  0.7500
Sc  0.5003  0.0000  0.2500

## Properties
- DFT formation energy: -692 meV/atom
- Symmetry: No. 123

[2]
Material: Ba2PaSe5
Method: DFT, PBE-GGA
State: optimized geometry

Lattice parameters (Å, degrees): 8.1631 9.0495 13.2865 90.00 90.00 90.00
Each line ends with the local moment (μB).
Fractional coordinates of all 32 atoms:
Pa  0.9522  0.7500  0.9912  0.10
Se  0.3056  0.9656  0.5575  0.09
Ba  0.9128  0.0028  0.6724  0.01
Se  0.1018  0.2500  0.5182  0.20
Se  0.3818  0.2500  0.3052  0.02
Se  0.3056  0.5344  0.5575  0.09
Se  0.6018  0.7500  0.9818  0.20
Pa  0.4522  0.2500  0.5088  0.10
Ba  0.9128  0.4972  0.6724  0.01
Se  0.8905  0.2500  0.1942  0.01
Ba  0.5872  0.4972  0.1724  0.01
Se  0.1095  0.7500  0.8058  0.01
Se  0.3905  0.7500  0.3058  0.01
Se  0.6182  0.7500  0.6948  0.02
Se  0.3982  0.2500  0.0182  0.20
Ba  0.4128  0.9972  0.8276  0.01
Se  0.8982  0.7500  0.4818  0.20
Ba  0.5872  0.0028  0.1724  0.01
Se  0.1944  0.9656  0.0575  0.09
Se  0.6944  0.4656  0.4425  0.09
Se  0.1944  0.5344  0.0575  0.09
Se  0.1182  0.2500  0.8052  0.02
Pa  0.0478  0.2500  0.0088  0.10
Se  0.8818  0.7500  0.1948  0.02
Pa  0.5478  0.7500  0.4912  0.10
Ba  0.0872  0.5028  0.3276  0.01
Se  0.8056  0.4656  0.9425  0.09
Se  0.6095  0.2500  0.6942  0.01
Ba  0.0872  0.9972  0.3276  0.01
Se  0.8056  0.0344  0.9425  0.09
Ba  0.4128  0.5028  0.8276  0.01
Se  0.6944  0.0344  0.4425  0.09

## Properties
- Formation energy without anion corrections: -1.619 eV per atom
- Symmetry: No. 62

no.,density of states at the Fermi level (states/eV/atom)
1,0.725
2,0.463